# Na2ScGaS

Na2ScGaS after structural relaxation (PBE-GGA, Alexandria).

Cell: 6.257 6.257 4.681 Å, 90.00 90.00 90.00°
Element x y z (fractional)
Na (0.000, 0.500, 0.000)
Na (0.500, 0.000, 0.000)
Sc (0.000, 0.000, 0.000)
Ga (0.500, 0.500, 0.500)
S (0.000, 0.000, 0.500)

Summary:
density of states at the Fermi level: 3.154 states/eV/f.u.
formation energy (no corrections): 0.47 eV/f.u.
calculated density: 1.75 g/cm3
volume: 36.65 A^3/atom
total magnetization: 0.000 μB per atom